Crystalline Tb2Pm4Ho at its relaxed geometry, computed with GGA-PBE.

The total energy is -4.53 eV/atom. The calculation puts the formation energy at 160 meV per atom. As for the mass density: 7.46 Mg/m³. As for the density of states at the Fermi level: 9.6 states/eV/f.u. The calculation puts the energy above the most stable polymorph in this dataset at 0 meV per atom.

The space group is Cmce (No. 64) and the conventional cell measures 5.348, 11.351 and 15.579 Å, with angles of 90.00, 90.00 and 90.00 degrees. The inequivalent atoms are Tb at (0.000, 0.107, 0.156), Pm at (0.000, 0.099, 0.694), Pm at (0.000, 0.205, 0.930) and Ho at (0.000, 0.000, 0.500).

Crystalline Tb5Pm6Ho2 at its relaxed geometry, computed with GGA-PBE.

The total energy is -4.58 eV/atom. The calculation puts the formation energy at 98 meV per atom. As for the mass density: 7.61 Mg/m³. As for the density of states at the Fermi level: 15.1 states/eV/f.u.

The space group is Pbam (No. 55) and the conventional cell measures 11.700, 20.580 and 3.615 Å, with angles of 90.00, 90.00 and 90.00 degrees. The inequivalent atoms are Tb at (0.000, 0.000, 0.000), Tb at (0.091, 0.273, 0.000), Tb at (0.198, 0.555, 0.000), Pm at (0.061, 0.420, 0.500), Pm at (0.083, 0.132, 0.500), Pm at (0.173, 0.864, 0.000) and Ho at (0.167, 0.710, 0.500).

Crystalline Tb2PmHo6 at its relaxed geometry, computed with GGA-PBE.

The total energy is -4.59 eV/atom. The calculation puts the formation energy at 19 meV per atom. As for the mass density: 8.51 Mg/m³. As for the density of states at the Fermi level: 11.1 states/eV/f.u. The calculation puts the energy above the most stable polymorph in this dataset at 0 meV per atom.

The space group is P4_2/mnm (No. 136) and the conventional cell measures 10.631, 10.631 and 5.017 Å, with angles of 90.00, 90.00 and 90.00 degrees. The inequivalent atoms are Tb at (0.167, 0.167, 0.000), Pm at (0.000, 0.000, 0.500), Ho at (0.000, 0.334, 0.500) and Ho at (0.168, 0.832, 0.000).

Crystalline Tb2PmHo at its relaxed geometry, computed with GGA-PBE.

The total energy is -4.63 eV/atom. The calculation puts the formation energy at 16 meV per atom. As for the mass density: 7.96 Mg/m³. As for the density of states at the Fermi level: 6.6 states/eV/f.u. The calculation puts the energy above the most stable polymorph in this dataset at 2 meV per atom.

The space group is Pnma (No. 62) and the conventional cell measures 12.606, 5.698 and 7.295 Å, with angles of 90.00, 90.00 and 90.00 degrees. The inequivalent atoms are Tb at (0.083, 0.250, 0.001), Tb at (0.083, 0.250, 0.498), Pm at (0.167, 0.750, 0.750) and Ho at (0.166, 0.750, 0.250).

Among the records above, which one has the highest total energy? Tb2Pm4Ho

Among the records above, which one has the lowest mass density? Tb2Pm4Ho

total energy of number 1 (Tb2Pm4Ho)? -4.53 eV/atom